The following is a GGA-PBE calculation of a geometry-optimized Tb2FeNi3As4 structure, from Alexandria.

a b c (Å): 4.146 4.146 9.484
angles (deg): 90.00 90.00 90.00
Element x y z (fractional)
Tb1 0.500 0.000 0.249
Tb2 0.000 0.500 0.751
Fe1 0.500 0.500 0.500
Ni1 0.000 0.000 0.500
Ni2 0.500 0.000 0.878
Ni3 0.000 0.500 0.122
As1 0.500 0.500 0.000
As2 0.000 0.000 0.000
As3 0.500 0.000 0.631
As4 0.000 0.500 0.369

Calculated values
* SG: P-4m2, No. 115
* E_form: -71.9 kJ per mole of atoms
* mass density: 8.7 g/cm³
* total magnetic moment: 1.82 μB per cell